# 1
{
  "formula": "PrAsPt2Rh",
  "functional": "PBE",
  "state": "relaxed",
  "lattice_angstrom": [[-2.050, 2.087, 5.560], [2.050, -2.087, 5.560], [2.050, 2.087, -5.560]],
  "species": ["Pr", "As", "Pt", "Pt", "Rh"],
  "frac_coords": [[0.000, 0.000, 0.000], [0.369, 0.369, 0.000], [0.585, 0.585, 0.000], [0.750, 0.250, 0.500], [0.251, 0.751, 0.500]],
  "dos_at_fermi_per_ev_fu": 2.72,
  "final_energy_ev_per_atom": -6.63,
  "volume_a3_per_cell": 95.2,
  "magnetic_moment_mub_per_fu": 0.0,
  "mass_density_g_cm3": 12.37
}

---

# 2
{
  "formula": "Pr2As3PtRh4",
  "functional": "PBE",
  "state": "relaxed",
  "lattice_angstrom": [[4.247, 0.000, 0.000], [0.000, 4.247, 0.000], [0.000, 0.000, 10.437]],
  "species": ["Pr", "Pr", "As", "As", "As", "Pt", "Rh", "Rh", "Rh", "Rh"],
  "frac_coords": [[0.000, 0.500, 0.240], [0.500, 0.000, 0.760], [0.000, 0.000, 0.000], [0.000, 0.500, 0.630], [0.500, 0.000, 0.370], [0.500, 0.500, 0.000], [0.000, 0.000, 0.500], [0.000, 0.500, 0.858], [0.500, 0.000, 0.142], [0.500, 0.500, 0.500]],
  "dos_at_fermi_per_ev_fu": 6.61,
  "final_energy_ev_per_atom": -6.72,
  "volume_a3_per_cell": 188.2,
  "magnetic_moment_mub_per_fu": 0.0,
  "mass_density_g_cm3": 9.82
}

---

# 3
{
  "formula": "PrAs2PtRh2",
  "functional": "PBE",
  "state": "relaxed",
  "lattice_angstrom": [[6.363, 0.000, 0.000], [0.000, 9.389, 0.000], [0.000, 0.000, 4.225]],
  "species": ["Pr", "Pr", "As", "As", "As", "As", "Pt", "Pt", "Rh", "Rh", "Rh", "Rh"],
  "frac_coords": [[0.000, 0.000, 0.000], [0.500, 0.500, 0.500], [0.242, 0.300, 0.000], [0.258, 0.800, 0.500], [0.742, 0.200, 0.500], [0.758, 0.700, 0.000], [0.000, 0.500, 0.000], [0.500, 0.000, 0.500], [0.061, 0.320, 0.500], [0.439, 0.820, 0.000], [0.561, 0.180, 0.000], [0.939, 0.680, 0.500]],
  "dos_at_fermi_per_ev_fu": 3.64,
  "final_energy_ev_per_atom": -6.32,
  "volume_a3_per_cell": 252.4,
  "magnetic_moment_mub_per_fu": 0.0,
  "mass_density_g_cm3": 9.10
}

---

# 4
{
  "formula": "PrAs2PtRh5",
  "functional": "PBE",
  "state": "relaxed",
  "lattice_angstrom": [[4.721, 0.000, 0.000], [0.000, 4.721, 0.000], [0.000, 0.000, 7.155]],
  "species": ["Pr", "As", "As", "Pt", "Rh", "Rh", "Rh", "Rh", "Rh"],
  "frac_coords": [[0.000, 0.000, 0.000], [0.500, 0.500, 0.330], [0.500, 0.500, 0.670], [0.000, 0.000, 0.500], [0.000, 0.500, 0.294], [0.000, 0.500, 0.706], [0.500, 0.000, 0.294], [0.500, 0.000, 0.706], [0.500, 0.500, 0.000]],
  "dos_at_fermi_per_ev_fu": 9.09,
  "final_energy_ev_per_atom": -6.52,
  "volume_a3_per_cell": 159.5,
  "magnetic_moment_mub_per_fu": 0.0,
  "mass_density_g_cm3": 10.42
}

---

# 5
{
  "formula": "Pr2As4RuPt3",
  "functional": "PBE",
  "state": "relaxed",
  "lattice_angstrom": [[4.333, 0.000, 0.000], [0.000, 4.333, 0.000], [0.000, 0.000, 10.372]],
  "species": ["Pr", "Pr", "As", "As", "As", "As", "Ru", "Pt", "Pt", "Pt"],
  "frac_coords": [[0.000, 0.500, 0.247], [0.500, 0.000, 0.753], [0.000, 0.000, 0.500], [0.000, 0.500, 0.867], [0.500, 0.000, 0.133], [0.500, 0.500, 0.500], [0.500, 0.500, 0.000], [0.000, 0.000, 0.000], [0.000, 0.500, 0.628], [0.500, 0.000, 0.372]],
  "dos_at_fermi_per_ev_fu": 3.13,
  "final_energy_ev_per_atom": -6.38,
  "volume_a3_per_cell": 194.8,
  "magnetic_moment_mub_per_fu": 0.0,
  "mass_density_g_cm3": 10.81
}

---

# 6
{
  "formula": "Pr4AsPtS2",
  "functional": "PBE",
  "state": "relaxed",
  "lattice_angstrom": [[7.315, 0.000, 0.000], [0.000, 4.169, 0.000], [-2.405, 0.000, 6.911]],
  "species": ["Pr", "Pr", "Pr", "Pr", "As", "Pt", "S", "S"],
  "frac_coords": [[0.248, 0.000, 0.250], [0.250, 0.500, 0.745], [0.750, 0.500, 0.255], [0.752, 0.000, 0.750], [0.500, 0.000, 0.000], [0.000, 0.500, 0.000], [0.000, 0.000, 0.500], [0.500, 0.500, 0.500]],
  "dos_at_fermi_per_ev_fu": 5.94,
  "volume_a3_per_cell": 210.8,
  "magnetic_moment_mub_per_fu": 0.0,
  "mass_density_g_cm3": 7.07,
  "formation_energy_uncorrected_ev_per_atom": -1.61
}